Record 1
HfZnSi | PBE-GGA | optimized geometry

Cell: 6.0480 6.0480 6.0480 Å, 90.00 90.00 90.00°
Space group F-43m (No. 216)
One atom of each set of equivalent atoms:
Hf: 0.0000 0.0000 0.0000 (multiplicity 4)
Zn: 0.0000 0.0000 0.5000 (multiplicity 4)
Si: 0.2500 0.2500 0.2500 (multiplicity 4)

E_tot (eV/atom): -5.572

Record 2
Hf2Zr2Si | PBE-GGA | optimized geometry

Cell: 3.8821 3.8821 14.8223 Å, 90.00 90.00 90.00°
Space group I4/mmm (No. 139)
One atom of each set of equivalent atoms:
Hf: 0.0000 0.0000 0.0862 (multiplicity 4)
Zr: 0.0000 0.5000 0.2500 (multiplicity 4)
Si: 0.0000 0.0000 0.5000 (multiplicity 2)

E_tot (eV/atom): -7.925

Record 3
Hf2ZrSi2 | PBE-GGA | optimized geometry

Cell: 7.0729 7.0729 3.6594 Å, 90.00 90.00 90.00°
Space group P4/mbm (No. 127)
One atom of each set of equivalent atoms:
Hf: 0.1735 0.3265 0.0000 (multiplicity 4)
Zr: 0.0000 0.0000 0.5000 (multiplicity 2)
Si: 0.1230 0.6230 0.5000 (multiplicity 4)

Energy relative to the lowest polymorph listed for this composition (meV per atom): 0
E_tot (eV/atom): -8.677

Record 4
Hf2ZrSi2 | PBE-GGA | optimized geometry

Cell: 4.0228 4.0228 11.8399 Å, 90.00 90.00 90.00°
Space group I4/mmm (No. 139)
One atom of each set of equivalent atoms:
Hf: 0.0000 0.5000 0.2500 (multiplicity 4)
Zr: 0.0000 0.0000 0.0000 (multiplicity 2)
Si: 0.0000 0.0000 0.4034 (multiplicity 4)

Energy relative to the lowest polymorph listed for this composition (meV per atom): 331
E_tot (eV/atom): -8.346

- E_tot of number 1 (HfZnSi)?
  -5.572 eV/atom